VASP calculation (PBE) on an optimized crystal structure of RbCoBrCl2.

```
RbCoBrCl2
1.0
-4.137 2.559 -0.758
-1.217 -0.566 4.736
2.546 4.467 1.188
Co Br Rb Cl
1 1 1 2
direct
0.000 0.000 0.000 Co
0.000 0.000 0.500 Br
0.500 0.500 0.500 Rb
0.000 0.500 0.000 Cl
0.500 0.000 0.000 Cl
```

Properties
* density: 3833 kg/m3
* ΔE_f (raw): -0.943 eV/atom